Material: Hf2Ta
Method: DFT, PBE
State: optimized geometry

Cell and atoms, written as CIF:
```
data_Hf2Ta
_chemical_formula_sum 'Hf4 Ta2'
_cell_length_a 5.614
_cell_length_b 5.614
_cell_length_c 5.614
_cell_angle_alpha 60.00
_cell_angle_beta 60.00
_cell_angle_gamma 60.00
_symmetry_space_group_name_H-M 'P 1'
_symmetry_Int_Tables_number 1
_symmetry_space_group_name_Hall 'P 1'
loop_
_atom_site_label
_atom_site_type_symbol
_atom_site_fract_x
_atom_site_fract_y
_atom_site_fract_z
Ta1 Ta 0.250 0.250 0.250
Ta2 Ta 0.000 0.000 0.000
Hf1 Hf 0.625 0.625 0.625
Hf2 Hf 0.625 0.125 0.625
Hf3 Hf 0.625 0.625 0.125
Hf4 Hf 0.125 0.625 0.625
```

Values from the calculation:
energy of formation from the pure elements	536	meV/atom
density	14.3	g/cm3
space-group type	Fd-3m, No. 227
energy relative to the lowest polymorph listed for this composition	0.4031	eV per atom

=====

Material: MgNbCoGe
Method: DFT, PBE
State: optimized geometry

Cell and atoms, written as CIF:
```
data_MgNbCoGe
_chemical_formula_sum 'Mg1 Nb1 Co1 Ge1'
_cell_length_a 4.414
_cell_length_b 4.414
_cell_length_c 4.414
_cell_angle_alpha 60.00
_cell_angle_beta 60.00
_cell_angle_gamma 60.00
_symmetry_space_group_name_H-M 'P 1'
_symmetry_Int_Tables_number 1
_symmetry_space_group_name_Hall 'P 1'
loop_
_atom_site_label
_atom_site_type_symbol
_atom_site_fract_x
_atom_site_fract_y
_atom_site_fract_z
Mg1 Mg 0.500 0.500 0.500
Ge1 Ge 0.000 0.000 0.000
Co1 Co 0.750 0.750 0.750
Nb1 Nb 0.250 0.250 0.250
```

Values from the calculation:
density	6.8	g/cm3
space-group type	F-43m, No. 216
energy relative to the lowest polymorph listed for this composition	0.0000	eV per atom

=====

Material: TcB2
Method: DFT, PBE
State: optimized geometry

Cell and atoms, written as CIF:
```
data_TcB2
_chemical_formula_sum 'Tc2 B4'
_cell_length_a 2.900
_cell_length_b 2.900
_cell_length_c 7.459
_cell_angle_alpha 90.00
_cell_angle_beta 90.00
_cell_angle_gamma 120.00
_symmetry_space_group_name_H-M 'P 1'
_symmetry_Int_Tables_number 1
_symmetry_space_group_name_Hall 'P 1'
loop_
_atom_site_label
_atom_site_type_symbol
_atom_site_fract_x
_atom_site_fract_y
_atom_site_fract_z
Tc1 Tc 0.000 0.000 0.000
Tc2 Tc 0.667 0.333 0.500
B1 B 0.000 0.000 0.702
B2 B 0.667 0.333 0.203
B3 B 0.667 0.333 0.797
B4 B 0.000 0.000 0.298
```

Values from the calculation:
density	7.3	g/cm3
space-group type	P6_3/mmc, No. 194
energy relative to the lowest polymorph listed for this composition	0.0000	eV per atom

=====

Material: PrAlGa
Method: DFT, PBE
State: optimized geometry

Cell and atoms, written as CIF:
```
data_PrAlGa
_chemical_formula_sum 'Pr1 Al1 Ga1'
_cell_length_a 4.937
_cell_length_b 4.937
_cell_length_c 4.937
_cell_angle_alpha 60.00
_cell_angle_beta 60.00
_cell_angle_gamma 60.00
_symmetry_space_group_name_H-M 'P 1'
_symmetry_Int_Tables_number 1
_symmetry_space_group_name_Hall 'P 1'
loop_
_atom_site_label
_atom_site_type_symbol
_atom_site_fract_x
_atom_site_fract_y
_atom_site_fract_z
Ga1 Ga 0.750 0.750 0.750
Pr1 Pr 0.000 0.000 0.000
Al1 Al 0.250 0.250 0.250
```

Values from the calculation:
density	4.6	g/cm3
space-group type	F-43m, No. 216
E	-11.2	eV/f.u.

=====

Material: TbTmCd6
Method: DFT, PBE
State: optimized geometry

Cell and atoms, written as CIF:
```
data_TbTmCd6
_chemical_formula_sum 'Tb1 Tm1 Cd6'
_cell_length_a 6.566
_cell_length_b 6.566
_cell_length_c 4.970
_cell_angle_alpha 90.00
_cell_angle_beta 90.00
_cell_angle_gamma 120.00
_symmetry_space_group_name_H-M 'P 1'
_symmetry_Int_Tables_number 1
_symmetry_space_group_name_Hall 'P 1'
loop_
_atom_site_label
_atom_site_type_symbol
_atom_site_fract_x
_atom_site_fract_y
_atom_site_fract_z
Cd1 Cd 0.503 0.497 0.000
Cd2 Cd 0.343 0.171 0.500
Cd3 Cd 0.829 0.171 0.500
Cd4 Cd 0.503 0.006 0.000
Cd5 Cd 0.994 0.497 0.000
Cd6 Cd 0.829 0.657 0.500
Tm1 Tm 0.333 0.667 0.500
Tb1 Tb 0.000 0.000 0.000
```

Values from the calculation:
energy of formation from the pure elements	-279	meV/atom
density	9.0	g/cm3
space-group type	P-6m2, No. 187

=====

Material: ScGa2Cu5
Method: DFT, PBE
State: optimized geometry

Cell and atoms, written as CIF:
```
data_ScGa2Cu5
_chemical_formula_sum 'Sc1 Ga2 Cu5'
_cell_length_a 4.275
_cell_length_b 4.275
_cell_length_c 6.004
_cell_angle_alpha 90.00
_cell_angle_beta 90.00
_cell_angle_gamma 90.00
_symmetry_space_group_name_H-M 'P 1'
_symmetry_Int_Tables_number 1
_symmetry_space_group_name_Hall 'P 1'
loop_
_atom_site_label
_atom_site_type_symbol
_atom_site_fract_x
_atom_site_fract_y
_atom_site_fract_z
Cu1 Cu 0.000 0.500 0.732
Cu2 Cu 0.500 0.000 0.732
Cu3 Cu 0.000 0.500 0.268
Cu4 Cu 0.500 0.000 0.268
Cu5 Cu 0.000 0.000 0.500
Ga1 Ga 0.000 0.000 0.000
Ga2 Ga 0.500 0.500 0.500
Sc1 Sc 0.500 0.500 0.000
```

Values from the calculation:
density	7.6	g/cm3
space-group type	P4/mmm, No. 123
E	-32.5	eV/f.u.